First-principles (PBE) data for Pr4DyAs5 after structural relaxation, as listed in the Alexandria database.

POSCAR file:
```
Pr4DyAs5
1.0
4.276 0.000 0.000
0.000 4.276 0.000
-2.138 -2.138 15.093
Pr Dy As
4 1 5
direct
0.401 0.401 0.802 Pr
0.801 0.801 0.602 Pr
0.199 0.199 0.398 Pr
0.599 0.599 0.198 Pr
0.000 0.000 0.000 Dy
0.098 0.098 0.195 As
0.500 0.500 0.000 As
0.902 0.902 0.805 As
0.300 0.300 0.601 As
0.700 0.700 0.399 As
```

* E: -6.193 eV/atom

First-principles (PBE) data for PrDyPu2As4 after structural relaxation, as listed in the Alexandria database.

POSCAR file:
```
PrDyPu2As4
1.0
4.182 0.000 0.000
0.000 7.205 -0.130
0.000 2.548 6.778
Pr Dy Pu As
1 1 2 4
direct
0.500 0.500 0.000 Pr
0.000 0.500 0.500 Dy
0.000 0.000 0.000 Pu
0.500 0.000 0.500 Pu
0.000 0.761 0.741 As
0.000 0.239 0.259 As
0.500 0.756 0.254 As
0.500 0.244 0.746 As
```

* E: -8.340 eV/atom

First-principles (PBE) data for PrDy2PuAs4 after structural relaxation, as listed in the Alexandria database.

POSCAR file:
```
PrDy2PuAs4
1.0
-3.472 2.297 -0.360
-1.657 -1.427 6.875
2.898 5.051 4.276
Pr Dy Pu As
1 2 1 4
direct
0.500 0.500 0.000 Pr
0.000 0.000 0.000 Dy
0.500 0.000 0.500 Dy
0.000 0.500 0.500 Pu
0.000 0.757 0.742 As
0.000 0.243 0.258 As
0.500 0.753 0.255 As
0.500 0.247 0.745 As
```

* E: -7.244 eV/atom

First-principles (PBE) data for Pr2Dy3PuAs6 after structural relaxation, as listed in the Alexandria database.

POSCAR file:
```
Pr2Dy3PuAs6
1.0
-2.985 -2.885 -0.578
5.785 -6.041 0.274
-1.029 2.307 9.002
Pr Dy Pu As
2 3 1 6
direct
0.834 0.666 0.667 Pr
0.166 0.334 0.333 Pr
0.500 0.500 0.000 Dy
0.832 0.166 0.665 Dy
0.168 0.834 0.335 Dy
0.500 0.000 0.000 Pu
0.334 0.925 0.668 As
0.664 0.590 0.328 As
0.666 0.075 0.332 As
0.997 0.246 0.994 As
0.003 0.754 0.006 As
0.336 0.410 0.672 As
```

* E: -6.888 eV/atom

First-principles (PBE) data for PrDyAs2Rh5 after structural relaxation, as listed in the Alexandria database.

POSCAR file:
```
PrDyAs2Rh5
1.0
4.280 0.000 0.000
0.000 4.280 0.000
0.000 0.000 8.866
Pr Dy As Rh
1 1 2 5
direct
0.000 0.000 0.500 Pr
0.000 0.000 0.000 Dy
0.500 0.500 0.146 As
0.500 0.500 0.854 As
0.000 0.500 0.261 Rh
0.500 0.000 0.261 Rh
0.000 0.500 0.739 Rh
0.500 0.000 0.739 Rh
0.500 0.500 0.500 Rh
```

* E: -6.886 eV/atom

First-principles (PBE) data for Pr2DyAs3Rh4 after structural relaxation, as listed in the Alexandria database.

POSCAR file:
```
Pr2DyAs3Rh4
1.0
4.157 0.000 0.000
0.000 4.157 0.000
0.000 0.000 11.427
Pr Dy As Rh
2 1 3 4
direct
0.500 0.000 0.226 Pr
0.000 0.500 0.774 Pr
0.500 0.500 0.500 Dy
0.000 0.000 0.500 As
0.500 0.000 0.873 As
0.000 0.500 0.127 As
0.500 0.500 0.000 Rh
0.000 0.000 0.000 Rh
0.500 0.000 0.659 Rh
0.000 0.500 0.341 Rh
```

* E: -6.712 eV/atom

First-principles (PBE) data for PrDySc2As4 after structural relaxation, as listed in the Alexandria database.

POSCAR file:
```
PrDySc2As4
1.0
4.061 0.000 0.000
0.000 6.996 -0.126
0.000 2.473 6.577
Pr Dy Sc As
1 1 2 4
direct
0.500 0.500 0.000 Pr
0.000 0.500 0.500 Dy
0.000 0.000 0.000 Sc
0.500 0.000 0.500 Sc
0.000 0.773 0.737 As
0.000 0.227 0.263 As
0.500 0.769 0.249 As
0.500 0.231 0.751 As
```

* E: -6.496 eV/atom

First-principles (PBE) data for Pr2DyScAs4 after structural relaxation, as listed in the Alexandria database.

POSCAR file:
```
Pr2DyScAs4
1.0
4.168 0.000 0.000
0.000 7.189 -0.135
0.000 2.537 6.747
Pr Dy Sc As
2 1 1 4
direct
0.000 0.000 0.000 Pr
0.500 0.000 0.500 Pr
0.000 0.500 0.500 Dy
0.500 0.500 0.000 Sc
0.000 0.729 0.763 As
0.000 0.271 0.237 As
0.500 0.734 0.249 As
0.500 0.266 0.751 As
```

* E: -6.332 eV/atom

| no. | DFT formation energy (kcal/mol of atoms) |
| --- | --- |
| 1 | -34.51 |
| 2 | -29.04 |
| 3 | -31.83 |
| 4 | -32.78 |
| 5 | -16.75 |
| 6 | -22.15 |
| 7 | -32.65 |
| 8 | -33.33 |